*one*
Below is a crystal of Sc2TcCl relaxed with PBEsol, with properties calculated at the meta-GGA SCAN level.

Calculated values
Fermi-level density of states, states/eV/cell: 1.35

Cell: 3.742 3.742 5.334 Å, 90.00 90.00 90.00°
Positions (direct):
Sc: 0.000 0.000 0.000
Sc: 0.500 0.500 0.413
Tc: 0.000 0.000 0.447
Cl: 0.500 0.500 0.921

=====

*two*
Below is a crystal of Sc2TcCl relaxed with PBEsol, with properties calculated at the meta-GGA SCAN level.

Calculated values
Fermi-level density of states, states/eV/cell: 2.01

Cell: 8.800 8.800 8.800 Å, 21.72 21.72 21.72°
Positions (direct):
Sc: 0.096 0.096 0.096
Sc: 0.904 0.904 0.904
Tc: 0.500 0.500 0.500
Cl: 0.000 0.000 0.000

=====

*two* comes first in stability; the runner-up is 0.179 eV/atom higher.

=====

*one*
Below is a crystal of ScTlCl relaxed with PBEsol, with properties calculated at the meta-GGA SCAN level.

Calculated values
Fermi-level density of states, states/eV/cell: 2.72

Cell: 6.329 6.329 6.329 Å, 149.49 149.49 43.69°
Positions (direct):
Sc: 0.000 0.000 0.000
Tl: 0.693 0.693 0.000
Cl: 0.412 0.412 0.000

=====

*two*
Below is a crystal of ScTlCl relaxed with PBEsol, with properties calculated at the meta-GGA SCAN level.

Calculated values
Fermi-level density of states, states/eV/cell: 4.28

Cell: 4.736 4.736 4.736 Å, 60.00 60.00 60.00°
Positions (direct):
Sc: 0.000 0.000 0.000
Tl: 0.250 0.250 0.250
Cl: 0.750 0.750 0.750

=====

*one* comes first in stability; the runner-up is 0.567 eV/atom higher.

=====

*one*
Below is a crystal of Sc2WCl relaxed with PBEsol, with properties calculated at the meta-GGA SCAN level.

Calculated values
Fermi-level density of states, states/eV/cell: 2.67

Cell: 3.080 3.080 8.362 Å, 100.00 100.00 68.24°
Positions (direct):
Sc: 0.075 0.075 0.251
Sc: 0.925 0.925 0.749
W: 0.500 0.500 0.000
Cl: 0.500 0.500 0.500

=====

*two*
Below is a crystal of Sc2WCl relaxed with PBEsol, with properties calculated at the meta-GGA SCAN level.

Calculated values
Fermi-level density of states, states/eV/cell: 3.62

Cell: 3.174 3.174 7.568 Å, 90.00 90.00 90.00°
Positions (direct):
Sc: 0.000 0.000 0.223
Sc: 0.000 0.000 0.777
W: 0.500 0.500 0.000
Cl: 0.500 0.500 0.500

=====

*one* comes first in stability; the runner-up is 0.096 eV/atom higher.

=====

*one*
Below is a crystal of YScCl2 relaxed with PBEsol, with properties calculated at the meta-GGA SCAN level.

Calculated values
Fermi-level density of states, states/eV/cell: 2.56

Cell: 5.556 5.556 5.556 Å, 145.86 113.82 76.61°
Positions (direct):
Y: 0.000 0.000 0.000
Sc: 0.500 0.500 0.000
Cl: 0.260 0.760 0.500
Cl: 0.740 0.240 0.500

=====

*two*
Below is a crystal of YScCl2 relaxed with PBEsol, with properties calculated at the meta-GGA SCAN level.

Calculated values
Fermi-level density of states, states/eV/cell: 2.20

Cell: 3.539 3.539 6.705 Å, 90.00 90.00 90.00°
Positions (direct):
Y: 0.000 0.000 0.000
Sc: 0.500 0.500 0.665
Cl: 0.000 0.000 0.561
Cl: 0.500 0.500 0.237

=====

*three*
Below is a crystal of YScCl2 relaxed with PBEsol, with properties calculated at the meta-GGA SCAN level.

Calculated values
Fermi-level density of states, states/eV/cell: 3.21

Cell: 9.117 9.117 9.117 Å, 21.50 21.50 21.50°
Positions (direct):
Y: 0.000 0.000 0.000
Sc: 0.500 0.500 0.500
Cl: 0.103 0.103 0.103
Cl: 0.897 0.897 0.897

=====

*two* comes first in stability; the runner-up is 0.248 eV/atom higher.

=====

*one*
Below is a crystal of YScCl2 relaxed with PBEsol, with properties calculated at the meta-GGA SCAN level.

Calculated values
Fermi-level density of states, states/eV/cell: 1.25

Cell: 4.675 4.675 4.675 Å, 60.00 60.00 60.00°
Positions (direct):
Y: 0.000 0.000 0.000
Sc: 0.500 0.500 0.500
Cl: 0.250 0.250 0.250
Cl: 0.750 0.750 0.750

=====

*two*
Below is a crystal of YScCl2 relaxed with PBEsol, with properties calculated at the meta-GGA SCAN level.

Calculated values
Fermi-level density of states, states/eV/cell: 1.84

Cell: 9.488 9.488 9.488 Å, 21.66 21.66 21.66°
Positions (direct):
Y: 0.000 0.000 0.000
Sc: 0.238 0.238 0.238
Cl: 0.515 0.515 0.515
Cl: 0.730 0.730 0.730

=====

*two* comes first in stability; the runner-up is 0.618 eV/atom higher.

=====

*one*
Below is a crystal of YSc2Cl relaxed with PBEsol, with properties calculated at the meta-GGA SCAN level.

Calculated values
Fermi-level density of states, states/eV/cell: 4.83

Cell: 3.304 6.282 6.282 Å, 42.77 90.00 90.00°
Positions (direct):
Y: 0.000 0.000 0.000
Sc: 0.000 0.278 0.278
Sc: 0.500 0.684 0.684
Cl: 0.500 0.465 0.465

=====

*two*
Below is a crystal of YSc2Cl relaxed with PBEsol, with properties calculated at the meta-GGA SCAN level.

Calculated values
Fermi-level density of states, states/eV/cell: 3.54

Cell: 3.246 3.246 8.714 Å, 90.00 90.00 90.00°
Positions (direct):
Y: 0.000 0.000 0.000
Sc: 0.500 0.500 0.276
Sc: 0.500 0.500 0.724
Cl: 0.000 0.000 0.500

=====

*one* comes first in stability; the runner-up is 0.071 eV/atom higher.

=====

*one*
Below is a crystal of Y2ScCl relaxed with PBEsol, with properties calculated at the meta-GGA SCAN level.

Calculated values
Fermi-level density of states, states/eV/cell: 3.64

Cell: 3.389 3.389 9.731 Å, 90.00 90.00 116.39°
Positions (direct):
Y: 0.000 0.000 0.000
Y: 0.500 0.500 0.294
Sc: 0.000 0.000 0.563
Cl: 0.500 0.500 0.769

=====

*two*
Below is a crystal of Y2ScCl relaxed with PBEsol, with properties calculated at the meta-GGA SCAN level.

Calculated values
Fermi-level density of states, states/eV/cell: 3.69

Cell: 5.833 5.833 5.833 Å, 133.28 133.28 68.22°
Positions (direct):
Y: 0.250 0.750 0.500
Y: 0.750 0.250 0.500
Sc: 0.000 0.000 0.000
Cl: 0.500 0.500 0.000

=====

*one* comes first in stability; the runner-up is 0.554 eV/atom higher.

=====

*one*
Below is a crystal of Y2ScCl relaxed with PBEsol, with properties calculated at the meta-GGA SCAN level.

Calculated values
Fermi-level density of states, states/eV/cell: 3.21

Cell: 9.646 9.646 9.646 Å, 20.88 20.88 20.88°
Positions (direct):
Y: 0.241 0.241 0.241
Y: 0.759 0.759 0.759
Sc: 0.000 0.000 0.000
Cl: 0.500 0.500 0.500

=====

*two*
Below is a crystal of Y2ScCl relaxed with PBEsol, with properties calculated at the meta-GGA SCAN level.

Calculated values
Fermi-level density of states, states/eV/cell: 3.55

Cell: 6.333 6.333 6.333 Å, 140.33 140.33 57.36°
Positions (direct):
Y: 0.000 0.000 0.000
Y: 0.750 0.250 0.500
Sc: 0.250 0.750 0.500
Cl: 0.500 0.500 0.000

=====

*one* comes first in stability; the runner-up is 0.675 eV/atom higher.